The following is a GGA-PBE calculation of a relaxed Hf2Au2N crystal, from Alexandria via LeMat-Bulk.

Cell: 6.914 6.914 3.880 Å, 90.00 90.00 90.00°
Positions (direct):
Au 0.860 0.640 0.000
Hf 0.335 0.165 0.500
N 0.000 0.000 0.000
N 0.500 0.500 0.000
Au 0.360 0.860 0.000
Hf 0.665 0.835 0.500
Hf 0.165 0.665 0.500
Hf 0.835 0.335 0.500
Au 0.140 0.360 0.000
Au 0.640 0.140 0.000

Values from the calculation:
**Total DFT energy (no corrections)**: -65.18 eV for the cell shown
**Magnetic moment**: 0.0000 μB per atom
**SG**: P4/mbm (127)
**Formation energy without anion corrections**: 2.2 eV per formula unit
**E above lowest polymorph**: 0 kJ/mol of formula units